Record 1
# Ce3Al8Pd3 (GGA-PBE, optimized geometry)
data_Ce3Al8Pd3
_chemical_formula_sum 'Ce3 Al8 Pd3'
_symmetry_space_group_name_H-M 'P 1'
_symmetry_Int_Tables_number 1
_symmetry_space_group_name_Hall 'P 1'
_cell_length_a 8.3001
_cell_length_b 8.3001
_cell_length_c 8.8940
_cell_angle_alpha 122.29
_cell_angle_beta 122.29
_cell_angle_gamma 31.81
loop_
_atom_site_label
_atom_site_fract_x
_atom_site_fract_y
_atom_site_fract_z
Ce1 0.0000 0.0000 0.0000
Ce2 0.2823 0.2823 0.2950
Ce3 0.7177 0.7177 0.7050
Al1 0.1353 0.1353 0.4287
Al2 0.1497 0.1497 0.8580
Al3 0.3492 0.3492 0.7148
Al4 0.4947 0.4947 0.3293
Al5 0.5053 0.5053 0.6707
Al6 0.6508 0.6508 0.2852
Al7 0.8503 0.8503 0.1420
Al8 0.8647 0.8647 0.5713
Pd1 0.0000 0.0000 0.5000
Pd2 0.3491 0.3491 0.9994
Pd3 0.6509 0.6509 0.0006
# energy relative to the elements = -0.64 eV/atom
# D(E_F) = 16.57 states/eV per cell
# magnetic moment = 1.5 μB per cell
# V = 19.2 Å³ per atom
# raw total energy = -5.158 eV per atom
# space-group type = C2/m

***

Record 2
# CeAlPd (GGA-PBE, optimized geometry)
data_CeAlPd
_chemical_formula_sum 'Ce2 Al2 Pd2'
_symmetry_space_group_name_H-M 'P 1'
_symmetry_Int_Tables_number 1
_symmetry_space_group_name_Hall 'P 1'
_cell_length_a 3.1522
_cell_length_b 3.1522
_cell_length_c 11.7349
_cell_angle_alpha 90.00
_cell_angle_beta 90.00
_cell_angle_gamma 90.00
loop_
_atom_site_label
_atom_site_fract_x
_atom_site_fract_y
_atom_site_fract_z
Ce1 0.0000 0.0000 0.0000
Ce2 0.5000 0.5000 0.5000
Al1 0.0000 0.0000 0.3007
Al2 0.5000 0.5000 0.8007
Pd1 0.0000 0.0000 0.6882
Pd2 0.5000 0.5000 0.1882
# energy relative to the elements = -0.64 eV/atom
# D(E_F) = 6.42 states/eV per cell
# magnetic moment = 0.0 μB per cell
# V = 19.4 Å³ per atom
# raw total energy = -5.595 eV per atom
# space-group type = I4mm

***

Record 3
# CeAlPd (GGA-PBE, optimized geometry)
data_CeAlPd
_chemical_formula_sum 'Ce3 Al3 Pd3'
_symmetry_space_group_name_H-M 'P 1'
_symmetry_Int_Tables_number 1
_symmetry_space_group_name_Hall 'P 1'
_cell_length_a 7.1648
_cell_length_b 7.1648
_cell_length_c 4.1807
_cell_angle_alpha 90.00
_cell_angle_beta 90.00
_cell_angle_gamma 120.00
loop_
_atom_site_label
_atom_site_fract_x
_atom_site_fract_y
_atom_site_fract_z
Ce1 0.0000 0.5775 0.0000
Ce2 0.4225 0.4225 0.0000
Ce3 0.5775 0.0000 0.0000
Al1 0.0000 0.2332 0.5000
Al2 0.2332 0.0000 0.5000
Al3 0.7668 0.7668 0.5000
Pd1 0.0000 0.0000 0.0000
Pd2 0.3333 0.6667 0.5000
Pd3 0.6667 0.3333 0.5000
# energy relative to the elements = -0.78 eV/atom
# D(E_F) = 11.79 states/eV per cell
# magnetic moment = 0.9 μB per cell
# V = 20.7 Å³ per atom
# raw total energy = -5.733 eV per atom
# space-group type = P-62m

***

Record 4
# Ce3Al2Pd4 (GGA-PBE, optimized geometry)
data_Ce3Al2Pd4
_chemical_formula_sum 'Ce3 Al2 Pd4'
_symmetry_space_group_name_H-M 'P 1'
_symmetry_Int_Tables_number 1
_symmetry_space_group_name_Hall 'P 1'
_cell_length_a 5.9758
_cell_length_b 5.9758
_cell_length_c 8.5700
_cell_angle_alpha 116.74
_cell_angle_beta 116.74
_cell_angle_gamma 44.08
loop_
_atom_site_label
_atom_site_fract_x
_atom_site_fract_y
_atom_site_fract_z
Ce1 0.0000 0.0000 0.0000
Ce2 0.3694 0.3694 0.3153
Ce3 0.6306 0.6306 0.6847
Al1 0.3311 0.3311 0.6599
Al2 0.6689 0.6689 0.3401
Pd1 0.0781 0.0781 0.3988
Pd2 0.2821 0.2821 0.9228
Pd3 0.7179 0.7179 0.0772
Pd4 0.9219 0.9219 0.6012
# energy relative to the elements = -0.76 eV/atom
# D(E_F) = 14.68 states/eV per cell
# magnetic moment = 1.5 μB per cell
# V = 20.7 Å³ per atom
# raw total energy = -5.876 eV per atom
# space-group type = C2/m